[1]
Material: BaCaBr2
Method: DFT, PBE
State: relaxed

- magnetization (Bohr magnetons per cell) = 0.000
- energy (eV per cell) = -12.478
- theoretical density (g cm⁻³) = 3.598
- uncorrected formation energy (meV per atom) = -1302
- Fermi-level density of states (states/eV per cell) = 2.986

Lattice parameters (Å, degrees): 4.1422 4.9739 7.5530 90.00 90.00 90.00
Closest atoms and distances in Å follow each position.
Atoms (fractional coordinates):
Ba (0.0000, 0.0000, 0.0000)  4 Br 3.24
Ca (0.5000, 0.0000, 0.5000)  4 Br 3.24
Br (0.0000, 0.5000, 0.5000)  4 Ca 3.24
Br (0.5000, 0.5000, 0.0000)  4 Ba 3.24

[2]
Material: Pr2DyAl12Co3
Method: DFT, PBE
State: relaxed

- magnetization (Bohr magnetons per cell) = 0.000
- energy (eV per cell) = -80.439
- theoretical density (g cm⁻³) = 4.043
- ΔH_f (0 K) (meV per atom) = -2.8
- Fermi-level density of states (states/eV per cell) = 10.318

Lattice parameters (Å, degrees): 7.9662 7.9662 7.9662 63.89 63.89 63.89
Closest atoms and distances in Å follow each position.
Atoms (fractional coordinates):
Pr (0.0855, 0.0855, 0.0855)  6 Al 3.07-3.33, 1 Pr 3.24
Pr (0.9145, 0.9145, 0.9145)  6 Al 3.07-3.33, 1 Pr 3.24
Dy (0.5000, 0.5000, 0.5000)  12 Al 3.22-3.41
Al (0.0277, 0.6602, 0.6602)  1 Co 2.29
Al (0.2228, 0.2228, 0.5978)  2 Co 2.21
Al (0.2228, 0.5978, 0.2228)  2 Co 2.21
Al (0.3398, 0.3398, 0.9723)  1 Co 2.29
Al (0.3398, 0.9723, 0.3398)  1 Co 2.29
Al (0.4022, 0.7772, 0.7772)  2 Co 2.21
Al (0.5978, 0.2228, 0.2228)  2 Co 2.21
Al (0.6602, 0.0277, 0.6602)  1 Co 2.29
Al (0.6602, 0.6602, 0.0277)  1 Co 2.29
Al (0.7772, 0.4022, 0.7772)  2 Co 2.21
Al (0.7772, 0.7772, 0.4022)  2 Co 2.21
Al (0.9723, 0.3398, 0.3398)  1 Co 2.29
Co (0.0000, 0.5000, 0.5000)  6 Al 2.21-2.29
Co (0.5000, 0.0000, 0.5000)  6 Al 2.21-2.29
Co (0.5000, 0.5000, 0.0000)  6 Al 2.21-2.29

[3]
Material: Re3TeIr
Method: DFT, PBE
State: relaxed

- magnetization (Bohr magnetons per cell) = 0.512
- energy (eV per cell) = -38.673
- theoretical density (g cm⁻³) = 13.498
- uncorrected formation energy (meV per atom) = 2135
- Fermi-level density of states (states/eV per cell) = 7.333

Lattice parameters (Å, degrees): 4.7632 4.7632 4.7632 90.00 90.00 90.00
Closest atoms and distances in Å follow each position.
Atoms (fractional coordinates):
Re (0.0000, 0.0000, 0.5000)  2 Ir 2.38
Re (0.0000, 0.5000, 0.0000)  2 Ir 2.38
Re (0.5000, 0.0000, 0.0000)  2 Ir 2.38
Te (0.5000, 0.5000, 0.5000)  12 Re 3.37
Ir (0.0000, 0.0000, 0.0000)  6 Re 2.38

Copy entry 3 word for word.
Material: Re3TeIr
Method: DFT, PBE
State: relaxed

- magnetization (Bohr magnetons per cell) = 0.512
- energy (eV per cell) = -38.673
- theoretical density (g cm⁻³) = 13.498
- uncorrected formation energy (meV per atom) = 2135
- Fermi-level density of states (states/eV per cell) = 7.333

Lattice parameters (Å, degrees): 4.7632 4.7632 4.7632 90.00 90.00 90.00
Closest atoms and distances in Å follow each position.
Atoms (fractional coordinates):
Re (0.0000, 0.0000, 0.5000)  2 Ir 2.38
Re (0.0000, 0.5000, 0.0000)  2 Ir 2.38
Re (0.5000, 0.0000, 0.0000)  2 Ir 2.38
Te (0.5000, 0.5000, 0.5000)  12 Re 3.37
Ir (0.0000, 0.0000, 0.0000)  6 Re 2.38